Entry 1:
This record from the Alexandria database describes crystalline TlAg2BN at its relaxed geometry. The functional is PBE.

Raw formation energy ... 5.6 kcal/mol of atoms
M_tot ... 0.000 μB/cell

Lattice parameters (Å, degrees): 5.8837 5.8837 2.7248 90.00 90.00 90.00
Fractional coordinates of all 5 atoms:
Tl 0.0000 0.0000 0.0000
Ag 0.0000 0.5000 0.5000
Ag 0.5000 0.0000 0.5000
B 0.5000 0.5000 0.5000
N 0.5000 0.5000 0.0000

***

Entry 2:
This record from the Alexandria database describes crystalline Na3AgB at its relaxed geometry. The functional is PBE.

Offset from the most stable computed form ... 287.6 meV per atom
M_tot ... 0.000 μB/cell

Lattice parameters (Å, degrees): 5.4641 5.4641 5.4641 90.00 90.00 90.00
Fractional coordinates of all 5 atoms:
Na 0.0000 0.0000 0.5000
Na 0.0000 0.5000 0.0000
Na 0.5000 0.0000 0.0000
Ag 0.0000 0.0000 0.0000
B 0.5000 0.5000 0.5000

***

Entry 3:
This record from the Alexandria database describes crystalline NaAg2B at its relaxed geometry. The functional is PBE.

Electronic total energy ... -2.825 eV per atom
M_tot ... 0.000 μB/cell

Lattice parameters (Å, degrees): 5.3939 5.3939 13.3429 90.00 90.00 90.00
Fractional coordinates of all 16 atoms:
Na 0.0000 0.2500 0.3750
Na 0.0000 0.7500 0.6250
Na 0.5000 0.2500 0.1250
Na 0.5000 0.7500 0.8750
Ag 0.0000 0.0000 0.0000
Ag 0.0000 0.5000 0.0000
Ag 0.2500 0.2500 0.7500
Ag 0.2500 0.7500 0.2500
Ag 0.5000 0.0000 0.5000
Ag 0.5000 0.5000 0.5000
Ag 0.7500 0.2500 0.7500
Ag 0.7500 0.7500 0.2500
B 0.0000 0.2500 0.8750
B 0.0000 0.7500 0.1250
B 0.5000 0.2500 0.6250
B 0.5000 0.7500 0.3750

***

Entry 4:
This record from the Alexandria database describes crystalline NaAgB3 at its relaxed geometry. The functional is PBE.

Offset from the most stable computed form ... 0.0 meV per atom
M_tot ... 0.000 μB/cell

Lattice parameters (Å, degrees): 4.2995 4.2995 4.2995 90.00 90.00 90.00
Fractional coordinates of all 5 atoms:
Na 0.0000 0.0000 0.0000
Ag 0.5000 0.5000 0.5000
B 0.0000 0.5000 0.5000
B 0.5000 0.0000 0.5000
B 0.5000 0.5000 0.0000

***

Entry 5:
This record from the Alexandria database describes crystalline NaAg3B at its relaxed geometry. The functional is PBE.

Offset from the most stable computed form ... 0.0 meV per atom
M_tot ... 0.000 μB/cell

Lattice parameters (Å, degrees): 4.4667 4.4667 4.4667 90.00 90.00 90.00
Fractional coordinates of all 5 atoms:
Na 0.0000 0.0000 0.0000
Ag 0.0000 0.5000 0.5000
Ag 0.5000 0.0000 0.5000
Ag 0.5000 0.5000 0.0000
B 0.5000 0.5000 0.5000

***

Entry 6:
This record from the Alexandria database describes crystalline NaAgB3 at its relaxed geometry. The functional is PBE.

Offset from the most stable computed form ... 933.4 meV per atom
M_tot ... 0.000 μB/cell

Lattice parameters (Å, degrees): 4.4084 4.4084 4.4084 90.00 90.00 90.00
Fractional coordinates of all 5 atoms:
Na 0.0000 0.0000 0.0000
Ag 0.5000 0.5000 0.5000
B 0.0000 0.0000 0.5000
B 0.0000 0.5000 0.0000
B 0.5000 0.0000 0.0000

***

Entry 7:
This record from the Alexandria database describes crystalline Na3AgB at its relaxed geometry. The functional is PBE.

Offset from the most stable computed form ... 0.0 meV per atom
M_tot ... 1.867 μB/cell

Lattice parameters (Å, degrees): 5.1237 5.1237 5.1237 90.00 90.00 90.00
Fractional coordinates of all 5 atoms:
Na 0.0000 0.0000 0.5000
Na 0.0000 0.5000 0.0000
Na 0.5000 0.0000 0.0000
Ag 0.5000 0.5000 0.5000
B 0.0000 0.0000 0.0000

***

Entry 8:
This record from the Alexandria database describes crystalline Na2AgB at its relaxed geometry. The functional is PBE.

Electronic total energy ... -2.479 eV per atom
M_tot ... 0.000 μB/cell

Lattice parameters (Å, degrees): 10.5989 10.5989 4.1463 90.00 90.00 90.00
Fractional coordinates of all 16 atoms:
Na 0.0245 0.2500 0.1250
Na 0.2500 0.5245 0.3750
Na 0.2500 0.9755 0.8750
Na 0.4755 0.2500 0.6250
Na 0.5245 0.7500 0.6250
Na 0.7500 0.0245 0.8750
Na 0.7500 0.4755 0.3750
Na 0.9755 0.7500 0.1250
Ag 0.0000 0.0000 0.5000
Ag 0.0000 0.5000 0.7500
Ag 0.5000 0.0000 0.2500
Ag 0.5000 0.5000 0.0000
B 0.0000 0.0000 0.0000
B 0.0000 0.5000 0.2500
B 0.5000 0.0000 0.7500
B 0.5000 0.5000 0.5000

***

Number 4 is which compound? NaAgB3

***

Look up the M_tot of the eighth one. 0.000 μB/cell